Density functional theory data (PBE) for a relaxed DyInHgPd crystal.

a b c (Å): 4.948 4.948 4.948
angles (deg): 60.00 60.00 60.00
Fractional positions:
Dy (0.000, 0.000, 0.000)
In (0.500, 0.500, 0.500)
Hg (0.250, 0.250, 0.250)
Pd (0.750, 0.750, 0.750)

Calculated values
* formation energy from the elements: -0.567 eV per atom
* symmetry: F-43m
* final energy: -15.1 eV/cell
* mass density: 11.325 g cm⁻³
* N(E_F): 1.41 states/eV per cell



Density functional theory data (PBE) for a relaxed Pm2DyIn2Hg2 crystal.

a b c (Å): 9.765 9.765 9.765
angles (deg): 29.13 29.13 29.13
Fractional positions:
Pm (0.128, 0.128, 0.128)
Pm (0.872, 0.872, 0.872)
Dy (0.000, 0.000, 0.000)
In (0.259, 0.259, 0.259)
In (0.741, 0.741, 0.741)
Hg (0.388, 0.388, 0.388)
Hg (0.612, 0.612, 0.612)

Calculated values
* formation energy from the elements: -0.297 eV per atom
* symmetry: R-3m
* final energy: -22.3 eV/cell
* mass density: 9.217 g cm⁻³
* N(E_F): 4.22 states/eV per cell



Density functional theory data (PBE) for a relaxed PrDy2In2Hg2 crystal.

a b c (Å): 9.441 9.441 9.441
angles (deg): 30.51 30.51 30.51
Fractional positions:
Pr (0.000, 0.000, 0.000)
Dy (0.133, 0.133, 0.133)
Dy (0.867, 0.867, 0.867)
In (0.266, 0.266, 0.266)
In (0.734, 0.734, 0.734)
Hg (0.431, 0.431, 0.431)
Hg (0.569, 0.569, 0.569)

Calculated values
* formation energy from the elements: -0.308 eV per atom
* symmetry: R-3m
* final energy: -22.2 eV/cell
* mass density: 9.474 g cm⁻³
* N(E_F): 4.30 states/eV per cell



The highest N(E_F) belongs to which entry? PrDy2In2Hg2